A geometry-optimized Dy2Zn2O5 structure. Source: OQMD via LeMat-Bulk, functional PBE.

Structure (POSCAR):
```
Dy2Zn2O5
1.0
7.031 0.000 0.000
0.000 3.901 0.000
0.000 0.000 3.901
Dy O Zn
2 5 2
Direct
0.000 0.000 0.000 Dy
0.500 0.000 0.000 Dy
0.203 0.500 0.000 O
0.797 0.500 0.000 O
0.203 0.000 0.500 O
0.797 0.000 0.500 O
0.500 0.500 0.500 O
0.225 0.500 0.500 Zn
0.775 0.500 0.500 Zn
```

DFT total energy = -0.229 Ha/atom
polymorph energy (0 for the lowest one) = 0 meV/atom
M_tot = 0.0 μB per formula unit


A geometry-optimized Cs2RbIrO6 structure. Source: OQMD via LeMat-Bulk, functional PBE.

Structure (POSCAR):
```
Cs2RbIrO6
1.0
0.000 4.546 4.546
4.546 0.000 4.546
4.546 4.546 0.000
Cs Ir O Rb
2 1 6 1
Direct
0.250 0.250 0.250 Cs
0.750 0.750 0.750 Cs
0.000 0.000 0.000 Ir
0.795 0.205 0.205 O
0.205 0.795 0.205 O
0.795 0.795 0.205 O
0.205 0.205 0.795 O
0.795 0.205 0.795 O
0.205 0.795 0.795 O
0.500 0.500 0.500 Rb
```

DFT total energy = -0.188 Ha/atom
M_tot = 0.0 μB per formula unit


A geometry-optimized ScZnTe3Pb structure. Source: OQMD via LeMat-Bulk, functional PBE.

Structure (POSCAR):
```
ScZnTe3Pb
1.0
-4.259 4.634 4.375
2.786 -7.035 -1.224
8.793 2.443 5.971
Pb Sc Te Zn
2 2 6 2
Direct
0.225 0.775 0.250 Pb
0.775 0.225 0.750 Pb
0.000 0.000 0.000 Sc
0.000 0.000 0.500 Sc
0.638 0.362 0.046 Te
0.914 0.086 0.250 Te
0.638 0.362 0.454 Te
0.362 0.638 0.546 Te
0.086 0.914 0.750 Te
0.362 0.638 0.954 Te
0.531 0.469 0.250 Zn
0.469 0.531 0.750 Zn
```

DFT total energy = -0.149 Ha/atom
M_tot = 0.0 μB per formula unit


A geometry-optimized Zr4Fe2CN structure. Source: OQMD via LeMat-Bulk, functional PBE.

Structure (POSCAR):
```
Zr4Fe2CN
1.0
3.242 0.000 0.000
-1.621 2.808 0.000
0.000 0.000 13.359
C Fe N Zr
1 2 1 4
Direct
0.000 0.000 0.000 C
0.667 0.333 0.252 Fe
0.333 0.667 0.748 Fe
0.000 0.000 0.500 N
0.333 0.667 0.101 Zr
0.333 0.667 0.399 Zr
0.667 0.333 0.601 Zr
0.667 0.333 0.899 Zr
```

DFT total energy = -0.332 Ha/atom
M_tot = 2.3 μB per formula unit


A geometry-optimized Gd3BS3O3 structure. Source: OQMD via LeMat-Bulk, functional PBE.

Structure (POSCAR):
```
Gd3BS3O3
1.0
3.964 0.000 0.000
-0.050 7.575 0.000
-0.203 -0.292 11.150
B Gd O S
2 6 6 6
Direct
0.889 0.561 0.149 B
0.111 0.439 0.851 B
0.728 0.236 0.006 Gd
0.269 0.370 0.323 Gd
0.238 0.860 0.352 Gd
0.762 0.140 0.648 Gd
0.731 0.630 0.677 Gd
0.272 0.764 0.994 Gd
0.763 0.632 0.044 O
0.774 0.401 0.189 O
0.179 0.638 0.199 O
0.821 0.362 0.801 O
0.226 0.599 0.811 O
0.237 0.368 0.956 O
0.249 0.059 0.141 S
0.753 0.116 0.395 S
0.739 0.625 0.419 S
0.261 0.375 0.581 S
0.247 0.884 0.605 S
0.751 0.941 0.859 S
```

DFT total energy = -0.271 Ha/atom
M_tot = 0.0 μB per formula unit


A geometry-optimized PrNdPd2Pb structure. Source: OQMD via LeMat-Bulk, functional PBE.

Structure (POSCAR):
```
PrNdPd2Pb
1.0
3.776 0.000 0.000
0.000 2.173 7.621
0.000 -2.173 7.621
Nd Pb Pd Pr
1 1 2 1
Direct
0.500 0.366 0.366 Nd
0.000 0.999 0.999 Pb
0.000 0.194 0.194 Pd
0.000 0.807 0.807 Pd
0.500 0.633 0.633 Pr
```

DFT total energy = -0.202 Ha/atom
M_tot = 0.0 μB per formula unit


A geometry-optimized HfFeCoB structure. Source: OQMD via LeMat-Bulk, functional PBE.

Structure (POSCAR):
```
HfFeCoB
1.0
-3.981 0.125 0.552
-1.901 3.541 0.134
-2.415 1.101 -3.020
B Co Fe Hf
1 1 1 1
Direct
0.000 0.000 0.000 B
0.750 0.750 0.750 Co
0.250 0.250 0.250 Fe
0.500 0.500 0.500 Hf
```

DFT total energy = -0.293 Ha/atom
polymorph energy (0 for the lowest one) = 0 meV/atom
M_tot = 0.0 μB per formula unit


A geometry-optimized LiNbPO structure. Source: OQMD via LeMat-Bulk, functional PBE.

Structure (POSCAR):
```
LiNbPO
1.0
-3.091 1.294 3.679
3.103 -2.028 3.320
2.060 3.798 0.395
Li Nb O P
2 2 2 2
Direct
0.000 0.500 0.001 Li
0.500 0.000 0.999 Li
0.000 0.000 0.500 Nb
0.500 0.500 0.500 Nb
0.000 0.000 0.000 O
0.500 0.500 0.000 O
0.500 0.000 0.499 P
0.000 0.500 0.501 P
```

DFT total energy = -0.247 Ha/atom
polymorph energy (0 for the lowest one) = 246 meV/atom
M_tot = 0.0 μB per formula unit


A geometry-optimized KScNiS3 structure. Source: OQMD via LeMat-Bulk, functional PBE.

Structure (POSCAR):
```
KScNiS3
1.0
-5.489 -4.288 4.883
2.871 -1.595 1.827
1.993 8.022 3.869
K Ni S Sc
2 2 6 2
Direct
0.796 0.750 0.267 K
0.204 0.250 0.733 K
0.080 0.250 0.098 Ni
0.920 0.750 0.902 Ni
0.191 0.750 0.045 S
0.535 0.250 0.344 S
0.122 0.250 0.356 S
0.878 0.750 0.644 S
0.465 0.750 0.656 S
0.809 0.250 0.955 S
0.332 0.750 0.362 Sc
0.668 0.250 0.638 Sc
```

DFT total energy = -0.201 Ha/atom
M_tot = 1.3 μB per formula unit


A geometry-optimized AgSbS6 structure. Source: OQMD via LeMat-Bulk, functional PBE.

Structure (POSCAR):
```
AgSbS6
1.0
0.000 4.522 4.522
4.522 0.000 4.522
4.522 4.522 0.000
Ag S Sb
1 6 1
Direct
0.000 0.000 0.000 Ag
0.970 0.530 0.530 S
0.530 0.970 0.530 S
0.970 0.970 0.530 S
0.530 0.530 0.970 S
0.970 0.530 0.970 S
0.530 0.970 0.970 S
0.250 0.250 0.250 Sb
```

DFT total energy = -0.116 Ha/atom


A geometry-optimized Pm2PbO4 structure. Source: OQMD via LeMat-Bulk, functional PBE.

Structure (POSCAR):
```
Pm2PbO4
1.0
-3.759 5.836 1.558
-0.898 -3.241 -6.270
-2.328 -3.094 5.969
O Pb Pm
8 2 4
Direct
0.173 0.782 0.391 O
0.609 0.218 0.391 O
0.609 0.782 0.391 O
0.141 0.282 0.423 O
0.609 0.218 0.827 O
0.141 0.718 0.859 O
0.141 0.282 0.859 O
0.577 0.718 0.859 O
0.000 0.000 0.000 Pb
0.750 0.500 0.250 Pb
0.375 0.750 0.125 Pm
0.375 0.250 0.625 Pm
0.875 0.250 0.625 Pm
0.375 0.750 0.625 Pm
```

DFT total energy = -0.271 Ha/atom
M_tot = 0.0 μB per formula unit


A geometry-optimized NaAgHg structure. Source: OQMD via LeMat-Bulk, functional PBE.

Structure (POSCAR):
```
NaAgHg
1.0
0.000 3.398 3.398
3.398 0.000 3.398
3.398 3.398 0.000
Ag Hg Na
1 1 1
Direct
0.000 0.000 0.000 Ag
0.250 0.250 0.250 Hg
0.750 0.750 0.750 Na
```

DFT total energy = -0.056 Ha/atom


A geometry-optimized AlTc6C structure. Source: OQMD via LeMat-Bulk, functional PBE.

Structure (POSCAR):
```
AlTc6C
1.0
0.000 3.925 3.925
3.925 0.000 3.925
3.925 3.925 0.000
Al C Tc
1 1 6
Direct
0.000 0.000 0.000 Al
0.250 0.250 0.250 C
0.984 0.516 0.516 Tc
0.516 0.984 0.516 Tc
0.984 0.984 0.516 Tc
0.516 0.516 0.984 Tc
0.984 0.516 0.984 Tc
0.516 0.984 0.984 Tc
```

DFT total energy = -0.333 Ha/atom
M_tot = 0.0 μB per formula unit


A geometry-optimized BaDyAs structure. Source: OQMD via LeMat-Bulk, functional PBE.

Structure (POSCAR):
```
BaDyAs
1.0
-2.182 -4.651 -1.406
0.236 -4.163 3.315
-4.414 -1.716 2.439
As Ba Dy
1 1 1
Direct
0.250 0.250 0.250 As
0.000 0.000 0.000 Ba
0.750 0.750 0.750 Dy
```

DFT total energy = -0.123 Ha/atom
polymorph energy (0 for the lowest one) = 922 meV/atom
M_tot = 0.1 μB per formula unit


A geometry-optimized NaNb2AuS4 structure. Source: OQMD via LeMat-Bulk, functional PBE.

Structure (POSCAR):
```
NaNb2AuS4
1.0
-0.719 -2.057 -2.590
1.290 -1.269 2.861
-14.886 -2.082 5.788
Au Na Nb S
1 1 2 4
Direct
0.000 0.000 0.500 Au
0.000 0.000 0.000 Na
0.333 0.667 0.259 Nb
0.667 0.333 0.741 Nb
0.000 0.000 0.163 S
0.000 0.000 0.354 S
0.000 0.000 0.646 S
0.000 0.000 0.837 S
```

DFT total energy = -0.222 Ha/atom
M_tot = 0.0 μB per formula unit


A geometry-optimized UAlTc structure. Source: OQMD via LeMat-Bulk, functional PBE.

Structure (POSCAR):
```
UAlTc
1.0
0.000 3.193 3.193
3.193 0.000 3.193
3.193 3.193 0.000
Al Tc U
1 1 1
Direct
0.250 0.250 0.250 Al
0.750 0.750 0.750 Tc
0.000 0.000 0.000 U
```

DFT total energy = -0.275 Ha/atom
polymorph energy (0 for the lowest one) = 352 meV/atom
M_tot = 0.0 μB per formula unit


A geometry-optimized TaFeSiPt structure. Source: OQMD via LeMat-Bulk, functional PBE.

Structure (POSCAR):
```
TaFeSiPt
1.0
0.000 3.086 3.086
3.086 0.000 3.086
3.086 3.086 0.000
Fe Pt Si Ta
1 1 1 1
Direct
0.750 0.750 0.750 Fe
0.500 0.500 0.500 Pt
0.000 0.000 0.000 Si
0.250 0.250 0.250 Ta
```

DFT total energy = -0.297 Ha/atom
polymorph energy (0 for the lowest one) = 31 meV/atom
M_tot = 1.7 μB per formula unit


A geometry-optimized CdCo6As3P structure. Source: OQMD via LeMat-Bulk, functional PBE.

Structure (POSCAR):
```
CdCo6As3P
1.0
-4.365 -4.076 -3.299
6.656 -0.218 -1.482
0.456 -2.437 2.408
As Cd Co P
3 1 6 1
Direct
0.378 0.189 0.500 As
0.811 0.189 0.500 As
0.811 0.622 0.500 As
0.000 0.000 0.000 Cd
0.530 0.060 0.000 Co
0.530 0.470 0.000 Co
0.940 0.470 0.000 Co
0.205 0.410 0.500 Co
0.205 0.795 0.500 Co
0.590 0.795 0.500 Co
0.333 0.667 0.000 P
```

DFT total energy = -0.220 Ha/atom
M_tot = 0.0 μB per formula unit


A geometry-optimized OsO4 structure. Source: OQMD via LeMat-Bulk, functional PBE.

Structure (POSCAR):
```
OsO4
1.0
-3.927 0.741 -2.674
-1.574 -2.815 -3.567
-0.736 -1.525 4.134
O Os
4 1
Direct
0.632 0.092 0.082 O
0.353 0.893 0.351 O
0.107 0.647 0.649 O
0.908 0.368 0.918 O
0.001 0.999 0.000 Os
```

DFT total energy = -0.262 Ha/atom
M_tot = 0.0 μB per formula unit


A geometry-optimized KMgTaNi structure. Source: OQMD via LeMat-Bulk, functional PBE.

Structure (POSCAR):
```
KMgTaNi
1.0
0.000 3.326 3.326
3.326 0.000 3.326
3.326 3.326 0.000
K Mg Ni Ta
1 1 1 1
Direct
0.000 0.000 0.000 K
0.750 0.750 0.750 Mg
0.500 0.500 0.500 Ni
0.250 0.250 0.250 Ta
```

DFT total energy = -0.146 Ha/atom
polymorph energy (0 for the lowest one) = 0 meV/atom
M_tot = 0.0 μB per formula unit